BaIn6Hg6: relaxed, PBE.

```
BaIn6Hg6
1.0
-6.388 0.063 0.113
-3.177 -6.229 4.464
-3.039 3.372 6.944
Hg In Ba
6 6 1
Direct
0.667 0.833 0.833 Hg
0.333 0.167 0.167 Hg
0.000 0.351 0.649 Hg
0.000 0.649 0.351 Hg
0.341 0.659 0.659 Hg
0.659 0.341 0.341 Hg
0.500 0.500 0.000 In
0.000 0.000 0.500 In
0.500 0.250 0.750 In
0.000 0.500 0.000 In
0.500 0.750 0.250 In
0.500 0.000 0.500 In
0.000 0.000 0.000 Ba
```

Properties
Its energy relative to the elements is -0.117 eV per atom.